(1)
## K2Ga2Ni (PBE)

Data for crystalline K2Ga2Ni at its relaxed geometry.

Cell lengths 6.623, 6.623, 6.013 Å; angles 90.00, 90.00, 90.00 degrees
Fractional positions:
Ni 0.000 0.000 0.000
Ni 0.500 0.500 0.000
K 0.172 0.672 0.500
K 0.672 0.828 0.500
K 0.828 0.328 0.500
K 0.328 0.172 0.500
Ga 0.298 0.798 0.000
Ga 0.798 0.702 0.000
Ga 0.702 0.202 0.000
Ga 0.202 0.298 0.000

Computed properties:
theoretical density = 3.5 g/cm3
DOS at the Fermi energy = 1.55 states/eV/f.u.
symmetry = P4/mbm (127)
V = 26.375 A^3/atom
formation energy = 90.5 meV/atom


(2)
## TiNb3S6 (PBE)

Data for crystalline TiNb3S6 at its relaxed geometry.

Cell lengths 7.239, 7.239, 7.239 Å; angles 87.51, 87.51, 87.51 degrees
Each line ends with the local moment (μB).
Fractional positions:
Ti 0.000 0.000 0.000  0.01
Ti 0.500 0.500 0.500  0.16
Nb 0.379 0.903 0.765  0.00
Nb 0.903 0.765 0.379  0.00
Nb 0.235 0.621 0.097  0.00
Nb 0.765 0.379 0.903  0.00
Nb 0.097 0.235 0.621  0.00
Nb 0.621 0.097 0.235  0.00
S 0.325 0.945 0.097  0.00
S 0.055 0.903 0.675  0.00
S 0.579 0.822 0.459  0.00
S 0.903 0.675 0.055  0.00
S 0.459 0.579 0.822  0.00
S 0.178 0.541 0.421  0.00
S 0.822 0.459 0.579  0.00
S 0.541 0.421 0.178  0.00
S 0.097 0.325 0.945  0.00
S 0.421 0.178 0.541  0.00
S 0.945 0.097 0.325  0.00
S 0.675 0.055 0.903  0.00

Computed properties:
theoretical density = 4.6 g/cm3
energy relative to the elements, uncorrected = -0.877 eV/atom
DOS at the Fermi energy = 7.17 states/eV/f.u.
symmetry = R-3 (148)
V = 18.912 A^3/atom